Record 1
IrI2Cl (PBE, relaxed); E_form (uncorrected) = 0.833 eV/atom; size of the total moment = 0.00 μB/cell; relative energy among the computed polymorphs = 0.897 eV/atom; electronic total energy = -2.62 eV per atom
1.0
0.0000 3.5481 3.5481
3.5481 0.0000 3.5481
3.5481 3.5481 0.0000
Ir I Cl
1 2 1
direct
0.0000 0.0000 0.0000
0.2500 0.2500 0.2500
0.7500 0.7500 0.7500
0.5000 0.5000 0.5000

---

Record 2
InHgBr2 (PBE, relaxed); E_form (uncorrected) = -0.031 eV/atom; size of the total moment = 0.00 μB/cell; relative energy among the computed polymorphs = 0.532 eV/atom; electronic total energy = -1.63 eV per atom
1.0
1.6707 0.9646 12.0362
-1.6707 0.9646 12.0362
0.0000 -1.9291 12.0362
In Hg Br
1 1 2
direct
0.0000 0.0000 0.0000
0.5000 0.5000 0.5000
0.0766 0.0766 0.0766
0.9234 0.9234 0.9234

---

Record 3
FeCo2Cu (PBE, relaxed); energy of formation = 0.0936 eV per atom; size of the total moment = 5.63 μB/cell; electronic total energy = -6.60 eV per atom
1.0
2.4997 0.0000 0.0000
0.0000 3.5855 0.0000
0.0000 0.0000 5.0560
Fe Co Cu
1 2 1
direct
0.0000 0.0000 0.0000
0.5000 0.5000 0.2469
0.5000 0.5000 0.7531
0.0000 0.0000 0.5000

---

Record 4
LaNi4SnH6 (PBE, relaxed); size of the total moment = 0.00 μB/cell; electronic total energy = -4.68 eV per atom
1.0
4.4085 0.0000 0.0000
-2.2042 3.8179 0.0000
0.0000 0.0000 6.9093
La Ni Sn H
1 4 1 6
direct
0.0000 0.0000 0.0000
0.3333 0.6667 0.3166
0.3333 0.6667 0.6834
0.6667 0.3333 0.3166
0.6667 0.3333 0.6834
0.0000 0.0000 0.5000
0.0000 0.5000 0.1718
0.0000 0.5000 0.8282
0.5000 0.0000 0.1718
0.5000 0.0000 0.8282
0.5000 0.5000 0.1718
0.5000 0.5000 0.8282